DFT (SCAN) results for a crystal of YRhSe2Br relaxed with PBEsol.

Lattice parameters (Å, degrees): 5.374 5.374 5.294 90.00 90.00 90.00
Space group P4/mmm (No. 123)
One atom of each set of equivalent atoms:
Y: 0.000 0.000 0.000 x1
Rh: 0.500 0.500 0.500 x1
Se: 0.000 0.500 0.000 x2
Br: 0.000 0.000 0.500 x1

Values from the calculation:
energy relative to the elements, uncorrected = -0.1385 eV per atom

DFT (SCAN) results for a crystal of ZrRhSeBr2 relaxed with PBEsol.

Lattice parameters (Å, degrees): 4.831 4.831 4.885 90.00 90.00 90.00
Space group P4/mmm (No. 123)
One atom of each set of equivalent atoms:
Zr: 0.000 0.000 0.000 x1
Rh: 0.500 0.500 0.500 x1
Se: 0.500 0.500 0.000 x1
Br: 0.000 0.500 0.500 x2

Values from the calculation:
energy relative to the elements, uncorrected = 0.0803 eV per atom

DFT (SCAN) results for a crystal of ZnSi2RhBr relaxed with PBEsol.

Lattice parameters (Å, degrees): 4.894 4.894 4.558 90.00 90.00 90.00
Space group P4/mmm (No. 123)
One atom of each set of equivalent atoms:
Zn: 0.000 0.000 0.000 x1
Si: 0.000 0.500 0.500 x2
Rh: 0.500 0.500 0.000 x1
Br: 0.500 0.500 0.500 x1

Values from the calculation:
energy relative to the elements, uncorrected = 1.5108 eV per atom

DFT (SCAN) results for a crystal of Sn2RhBr relaxed with PBEsol.

Lattice parameters (Å, degrees): 6.973 6.973 6.973 90.00 90.00 90.00
Space group Fm-3m (No. 225)
One atom of each set of equivalent atoms:
Sn: 0.250 0.250 0.250 x8
Rh: 0.000 0.000 0.000 x4
Br: 0.000 0.000 0.500 x4

Values from the calculation:
energy relative to the elements, uncorrected = 0.3827 eV per atom

DFT (SCAN) results for a crystal of Sn2RhBr2 relaxed with PBEsol.

Lattice parameters (Å, degrees): 3.694 3.694 18.750 90.00 90.00 90.00
Space group I4/mmm (No. 139)
One atom of each set of equivalent atoms:
Sn: 0.000 0.000 0.077 x4
Rh: 0.000 0.000 0.500 x2
Br: 0.000 0.500 0.250 x4

Values from the calculation:
energy relative to the elements, uncorrected = 0.4521 eV per atom

DFT (SCAN) results for a crystal of SrRhBr relaxed with PBEsol.

Lattice parameters (Å, degrees): 3.988 4.478 7.456 90.00 90.00 90.00
Space group Amm2 (No. 38)
One atom of each set of equivalent atoms:
Sr: 0.000 0.000 0.000 x2
Rh: 0.500 0.000 0.318 x2
Br: 0.500 0.000 0.672 x2

Values from the calculation:
energy relative to the elements, uncorrected = -0.6662 eV per atom
polymorph energy (0 for the lowest one) = 0 meV per atom

DFT (SCAN) results for a crystal of Sr2RhBr relaxed with PBEsol.

Lattice parameters (Å, degrees): 4.2465 4.2465 22.6795 90.00 90.00 120.00
Space group R-3m (No. 166, hexagonal axes)
One atom of each set of equivalent atoms:
Sr: 0.0000 0.0000 0.2371 x6
Rh: 0.0000 0.0000 0.5000 x3
Br: 0.0000 0.0000 0.0000 x3

Values from the calculation:
energy relative to the elements, uncorrected = -0.9899 eV per atom
polymorph energy (0 for the lowest one) = 0 meV per atom

DFT (SCAN) results for a crystal of Sr2RhBr relaxed with PBEsol.

Lattice parameters (Å, degrees): 3.603 3.603 8.004 90.00 90.00 90.00
Space group P4/mmm (No. 123)
One atom of each set of equivalent atoms:
Sr: 0.000 0.000 0.218 x2
Rh: 0.500 0.500 0.000 x1
Br: 0.500 0.500 0.500 x1

Values from the calculation:
energy relative to the elements, uncorrected = -0.9767 eV per atom
polymorph energy (0 for the lowest one) = 13 meV per atom

DFT (SCAN) results for a crystal of SrRhBr3 relaxed with PBEsol.

Lattice parameters (Å, degrees): 5.047 5.047 5.047 90.00 90.00 90.00
Space group Pm-3m (No. 221)
One atom of each set of equivalent atoms:
Sr: 0.000 0.000 0.000 x1
Rh: 0.500 0.500 0.500 x1
Br: 0.000 0.500 0.500 x3

Values from the calculation:
energy relative to the elements, uncorrected = -1.0708 eV per atom

DFT (SCAN) results for a crystal of Sr2RhBr relaxed with PBEsol.

Lattice parameters (Å, degrees): 4.2021 4.2021 23.2354 90.00 90.00 120.00
Space group R3m (No. 160, hexagonal axes)
One atom of each set of equivalent atoms:
Sr: 0.0000 0.0000 0.0000 x3
Sr: 0.0000 0.0000 0.1935 x3
Rh: 0.0000 0.0000 0.5970 x3
Br: 0.0000 0.0000 0.7643 x3

Values from the calculation:
energy relative to the elements, uncorrected = -0.9596 eV per atom
polymorph energy (0 for the lowest one) = 30 meV per atom

DFT (SCAN) results for a crystal of SrRhBr relaxed with PBEsol.

Lattice parameters (Å, degrees): 6.540 6.540 6.540 90.00 90.00 90.00
Space group F-43m (No. 216)
One atom of each set of equivalent atoms:
Sr: 0.000 0.000 0.000 x4
Rh: 0.250 0.250 0.750 x4
Br: 0.000 0.000 0.500 x4

Values from the calculation:
energy relative to the elements, uncorrected = -0.3842 eV per atom
polymorph energy (0 for the lowest one) = 282 meV per atom

DFT (SCAN) results for a crystal of TaRhBr2 relaxed with PBEsol.

Lattice parameters (Å, degrees): 5.967 8.673 3.129 90.00 117.07 90.00
Space group C2/m (No. 12)
One atom of each set of equivalent atoms:
Ta: 0.000 0.000 0.000 x2
Rh: 0.000 0.500 0.000 x2
Br: 0.250 0.250 0.000 x4

Values from the calculation:
energy relative to the elements, uncorrected = 0.5791 eV per atom
polymorph energy (0 for the lowest one) = 719 meV per atom

DFT (SCAN) results for a crystal of TaRhBr2 relaxed with PBEsol.

Lattice parameters (Å, degrees): 3.004 5.667 8.769 90.00 90.00 90.00
Space group Cmmm (No. 65)
One atom of each set of equivalent atoms:
Ta: 0.000 0.000 0.000 x2
Rh: 0.000 0.000 0.500 x2
Br: 0.000 0.500 0.249 x4

Values from the calculation:
energy relative to the elements, uncorrected = 0.6023 eV per atom
polymorph energy (0 for the lowest one) = 742 meV per atom

DFT (SCAN) results for a crystal of TaRhBr2 relaxed with PBEsol.

Lattice parameters (Å, degrees): 13.757 3.223 4.217 90.00 95.41 90.00
Space group C2/m (No. 12)
One atom of each set of equivalent atoms:
Ta: 0.000 0.000 0.000 x2
Rh: 0.000 0.500 0.500 x2
Br: 0.149 0.500 0.201 x4

Values from the calculation:
energy relative to the elements, uncorrected = -0.1401 eV per atom
polymorph energy (0 for the lowest one) = 0 meV per atom

DFT (SCAN) results for a crystal of TaRhBr3 relaxed with PBEsol.

Lattice parameters (Å, degrees): 5.011 5.011 5.011 90.00 90.00 90.00
Space group Pm-3m (No. 221)
One atom of each set of equivalent atoms:
Ta: 0.000 0.000 0.000 x1
Rh: 0.500 0.500 0.500 x1
Br: 0.000 0.000 0.500 x3

Values from the calculation:
energy relative to the elements, uncorrected = 0.7021 eV per atom

DFT (SCAN) results for a crystal of Tb7RhBr12 relaxed with PBEsol.

Lattice parameters (Å, degrees): 14.5819 14.5819 9.8429 90.00 90.00 120.00
Space group R-3 (No. 148, hexagonal axes)
One atom of each set of equivalent atoms:
Tb: 0.0000 0.0000 0.0000 x3
Tb: 0.0452 0.1665 0.3458 x18
Rh: 0.0000 0.0000 0.5000 x3
Br: 0.0215 0.5870 0.1610 x18
Br: 0.0496 0.1817 0.8446 x18

Values from the calculation:
energy relative to the elements, uncorrected = -1.7999 eV per atom

DFT (SCAN) results for a crystal of TcRhBr relaxed with PBEsol.

Lattice parameters (Å, degrees): 5.765 5.765 5.765 90.00 90.00 90.00
Space group F-43m (No. 216)
One atom of each set of equivalent atoms:
Tc: 0.000 0.000 0.000 x4
Rh: 0.000 0.000 0.500 x4
Br: 0.250 0.250 0.750 x4

Values from the calculation:
energy relative to the elements, uncorrected = 1.1477 eV per atom
polymorph energy (0 for the lowest one) = 325 meV per atom

DFT (SCAN) results for a crystal of TcRhBr relaxed with PBEsol.

Lattice parameters (Å, degrees): 4.1056 4.1056 3.1170 90.00 90.00 120.00
Space group P3m1 (No. 156)
One atom of each set of equivalent atoms:
Tc: 0.0000 0.0000 0.0000 x1
Rh: 0.3333 0.6667 0.5339 x1
Br: 0.6667 0.3333 0.1767 x1

Values from the calculation:
energy relative to the elements, uncorrected = 0.8230 eV per atom
polymorph energy (0 for the lowest one) = 0 meV per atom

DFT (SCAN) results for a crystal of TeRhBr relaxed with PBEsol.

Lattice parameters (Å, degrees): 3.252 3.252 12.222 90.00 90.00 90.00
Space group I4mm (No. 107)
One atom of each set of equivalent atoms:
Te: 0.000 0.000 0.000 x2
Rh: 0.000 0.000 0.386 x2
Br: 0.000 0.000 0.738 x2

Values from the calculation:
energy relative to the elements, uncorrected = -0.1071 eV per atom

DFT (SCAN) results for a crystal of TeRhBr relaxed with PBEsol.

Lattice parameters (Å, degrees): 3.7388 3.7388 6.1150 90.00 90.00 120.00
Space group P3m1 (No. 156)
One atom of each set of equivalent atoms:
Te: 0.0000 0.0000 0.0000 x1
Rh: 0.3333 0.6667 0.2256 x1
Br: 0.6667 0.3333 0.4713 x1

Values from the calculation:
energy relative to the elements, uncorrected = -0.5614 eV per atom